# PuUZnNi PBE-GGA optimized geometry
data_PuUZnNi
_symmetry_space_group_name_H-M 'F -4 3 m'
_symmetry_Int_Tables_number 216
_symmetry_space_group_name_Hall 'F -4 2 3'
_cell_length_a 6.585
_cell_length_b 6.585
_cell_length_c 6.585
_cell_angle_alpha 90.00
_cell_angle_beta 90.00
_cell_angle_gamma 90.00
loop_
_atom_site_label
_atom_site_type_symbol
_atom_site_fract_x
_atom_site_fract_y
_atom_site_fract_z
Pu1 Pu 0.000 0.000 0.000
U1 U 0.250 0.250 0.250
Zn1 Zn 0.250 0.250 0.750
Ni1 Ni 0.000 0.000 0.500
# **Fermi-level density of states**: 25.40 states/eV/cell
# **E_tot**: -8.192 eV per atom
# **Density**: 14.10 g/cm³
# **Formation energy from the elements**: -0.02 eV per atom



# Sr2AgSbH PBE-GGA optimized geometry
data_Sr2AgSbH
_symmetry_space_group_name_H-M 'P 4/m m m'
_symmetry_Int_Tables_number 123
_symmetry_space_group_name_Hall '-P 4 2'
_cell_length_a 5.317
_cell_length_b 5.317
_cell_length_c 4.372
_cell_angle_alpha 90.00
_cell_angle_beta 90.00
_cell_angle_gamma 90.00
loop_
_atom_site_label
_atom_site_type_symbol
_atom_site_fract_x
_atom_site_fract_y
_atom_site_fract_z
Sr1 Sr 0.000 0.500 0.000
Ag1 Ag 0.000 0.000 0.500
Sb1 Sb 0.500 0.500 0.500
H1 H 0.000 0.000 0.000
# **Fermi-level density of states**: 1.50 states/eV/cell
# **E_tot**: -3.309 eV per atom
# **Density**: 5.45 g/cm³



# Th3Ga4Pd7 PBE-GGA optimized geometry
data_Th3Ga4Pd7
_symmetry_space_group_name_H-M 'C 1 2/m 1'
_symmetry_Int_Tables_number 12
_cell_length_a 16.041
_cell_length_b 4.317
_cell_length_c 9.328
_cell_angle_alpha 90.00
_cell_angle_beta 123.79
_cell_angle_gamma 90.00
loop_
_symmetry_equiv_pos_as_xyz
'x,y,z'
'-x,-y,-z'
'-x,y,-z'
'x,-y,z'
'x+1/2,y+1/2,z'
'-x+1/2,-y+1/2,-z'
'-x+1/2,y+1/2,-z'
'x+1/2,-y+1/2,z'
loop_
_atom_site_label
_atom_site_type_symbol
_atom_site_fract_x
_atom_site_fract_y
_atom_site_fract_z
Th1 Th 0.000 0.000 0.000
Th2 Th 0.173 0.500 0.680
Ga1 Ga 0.121 0.000 0.392
Ga2 Ga 0.175 0.500 0.040
Pd1 Pd 0.000 0.000 0.500
Pd2 Pd 0.004 0.500 0.271
Pd3 Pd 0.132 0.000 0.866
Pd4 Pd 0.198 0.500 0.337
# **Fermi-level density of states**: 17.45 states/eV/cell
# **E_tot**: -5.861 eV per atom
# **Density**: 10.64 g/cm³
# **Formation energy from the elements**: -0.81 eV per atom